[1]
VASP calculation (GGA-PBE) on crystalline Na2SrMnCl6 at its relaxed geometry.

Cell lengths 7.006, 7.006, 7.448 Å; angles 61.94, 61.93, 59.98 degrees
Site moments in Bohr magnetons follow the coordinates.
Sites, in units of the cell vectors:
Cl 0.694 0.122 0.772  0.03
Cl 0.577 0.220 0.246  0.03
Cl 0.220 0.957 0.246  0.03
Cl 0.412 0.694 0.772  0.03
Cl 0.957 0.577 0.246  0.03
Cl 0.122 0.412 0.772  0.03
Na 0.523 0.523 0.432  0.00
Na 0.018 0.018 0.945  0.00
Sr 0.817 0.817 0.550  0.01
Mn 0.321 0.321 0.036  4.45

Summary:
Formation energy from raw total energies   -1.77 eV per atom
Crystal system   trigonal
Space-group type   R3 (146)

[2]
VASP calculation (GGA-PBE) on crystalline NaSrMnCl5 at its relaxed geometry.

Cell lengths 7.417, 7.417, 10.229 Å; angles 104.16, 104.16, 104.37 degrees
Site moments in Bohr magnetons follow the coordinates.
Sites, in units of the cell vectors:
Cl 0.061 0.649 0.841  0.04
Cl 0.387 0.298 0.072  0.05
Cl 0.298 0.387 0.572  0.05
Cl 0.649 0.061 0.341  0.04
Cl 0.351 0.939 0.659  0.04
Cl 0.702 0.613 0.428  0.05
Cl 0.112 0.888 0.250  0.00
Cl 0.939 0.351 0.159  0.04
Cl 0.613 0.702 0.928  0.05
Cl 0.888 0.112 0.750  0.00
Sr 0.000 0.000 0.500  0.01
Sr 0.000 0.000 0.000  0.01
Mn 0.326 0.674 0.750  4.36
Mn 0.674 0.326 0.250  4.36
Na 0.653 0.347 0.750  0.00
Na 0.347 0.653 0.250  0.00

Summary:
Formation energy from raw total energies   -1.76 eV per atom
Crystal system   monoclinic
Space-group type   C2/c (15)

Question: Which of these has the lowest formation energy from raw total energies?
Answer: Na2SrMnCl6

Question: Which of these has the highest formation energy from raw total energies?
Answer: NaSrMnCl5